# NdEr2Au6

A relaxed structure of NdEr2Au6 (PBE-GGA, Alexandria).

## Properties
- formation enthalpy at 0 K (eV/atom) = -0.732
- E_tot (eV per atom) = -4.46
- space-group type = C2/c

POSCAR file:
```
NdEr2Au6
1.0
-4.301 0.041 3.094
0.807 -8.048 3.637
3.890 1.660 7.795
Au Er Nd
12 4 2
direct
0.814 0.018 0.753
0.475 0.675 0.436
0.314 0.753 0.018
0.975 0.436 0.675
0.186 0.982 0.247
0.354 0.898 0.644
0.646 0.102 0.356
0.525 0.325 0.564
0.146 0.356 0.102
0.025 0.564 0.325
0.686 0.247 0.982
0.854 0.644 0.898
0.414 0.544 0.790
0.914 0.790 0.544
0.086 0.210 0.456
0.586 0.456 0.210
0.250 0.126 0.874
0.750 0.874 0.126
```